No. 1
Material: Ce9PuIn2
Method: DFT, PBE
State: optimized geometry

Output
formation energy	-0.09	eV per atom
space-group type	No. 25

a b c (Å): 3.324 5.692 16.556
angles (deg): 90.00 90.00 90.00
Last column: magnetic moment on the atom in μB.
Sites, in units of the cell vectors:
Ce 0.500 0.554 0.000  0.07
Ce 0.500 0.454 0.337  -0.08
Ce 0.500 0.454 0.663  -0.08
Ce 0.500 0.950 0.153  0.08
Ce 0.500 0.039 0.500  -0.36
Ce 0.500 0.950 0.847  0.08
Ce 0.000 0.486 0.181  -0.21
Ce 0.000 0.586 0.500  -0.21
Ce 0.000 0.486 0.819  -0.21
Pu 0.000 0.137 0.000  5.14
In 0.000 0.952 0.326  0.00
In 0.000 0.952 0.674  0.00

No. 2
Material: Ce4PuIn5
Method: DFT, PBE
State: optimized geometry

Output
formation energy	-0.28	eV per atom
space-group type	No. 123

a b c (Å): 4.189 4.189 15.658
angles (deg): 90.00 90.00 90.00
Last column: magnetic moment on the atom in μB.
Sites, in units of the cell vectors:
Ce 0.000 0.000 0.188  0.89
Ce 0.000 0.000 0.408  -0.61
Ce 0.000 0.000 0.592  -0.61
Ce 0.000 0.000 0.812  0.89
Pu 0.000 0.000 0.000  5.55
In 0.500 0.500 0.096  -0.01
In 0.500 0.500 0.298  0.00
In 0.500 0.500 0.500  0.01
In 0.500 0.500 0.702  0.00
In 0.500 0.500 0.904  -0.01

No. 3
Material: Ce3Pu2In3
Method: DFT, PBE
State: optimized geometry

Output
formation energy	-0.20	eV per atom
space-group type	No. 63

a b c (Å): 4.941 6.135 15.502
angles (deg): 90.00 90.00 113.74
Last column: magnetic moment on the atom in μB.
Sites, in units of the cell vectors:
Ce 0.648 0.296 0.451  0.90
Ce 0.352 0.704 0.951  0.90
Ce 0.648 0.296 0.049  0.90
Ce 0.352 0.704 0.549  0.90
Ce 0.484 0.969 0.250  0.79
Ce 0.516 0.031 0.750  0.79
Pu 0.784 0.569 0.860  5.52
Pu 0.216 0.431 0.360  5.52
Pu 0.784 0.569 0.640  5.52
Pu 0.216 0.431 0.140  5.52
In 0.934 0.868 0.409  -0.04
In 0.066 0.132 0.909  -0.04
In 0.934 0.868 0.091  -0.04
In 0.066 0.132 0.591  -0.04
In 0.778 0.555 0.250  -0.04
In 0.222 0.445 0.750  -0.04

No. 4
Material: Ce2Pu2In
Method: DFT, PBE
State: optimized geometry

Output
formation energy	0.00	eV per atom
E above lowest polymorph	0.068	eV/atom
space-group type	No. 15

a b c (Å): 7.637 6.286 6.677
angles (deg): 110.24 124.88 90.00
Sites, in units of the cell vectors:
Ce 0.924 0.246 0.524
Ce 0.600 0.746 0.524
Ce 0.076 0.754 0.476
Ce 0.400 0.254 0.476
Pu 0.867 0.073 0.015
Pu 0.852 0.427 0.985
Pu 0.133 0.927 0.985
Pu 0.148 0.573 0.015
In 0.539 0.750 0.000
In 0.461 0.250 0.000